A relaxed structure of Zr5As. Source: OQMD, functional PBE.

Results
As for the total energy: -48.58 eV/cell. For the calculated volume, the calculation gives 21.6 Å³ per atom. Its magnetization is 0.07 μB/f.u. The space group is P-62m, No. 189.

abc: 5.4593 5.4593 5.0262
angles: 90.00 90.00 60.00
Sites, in units of the cell vectors:
Zr1 0.3135 0.6865 0.5000
As1 0.0000 0.0000 0.0000
Zr2 0.3333 0.3333 0.0000
Zr3 0.0000 0.3135 0.5000
Zr4 0.6865 0.0000 0.5000
Zr5 0.6667 0.6667 0.0000



A relaxed structure of Zr2As. Source: OQMD, functional PBE.

Results
As for the total energy: -185.90 eV/cell. For the calculated volume, the calculation gives 21.9 Å³ per atom. Its magnetization is 0.00 μB/f.u. The space group is Pm, No. 6.

abc: 13.2284 8.2035 5.2553
angles: 90.00 90.00 67.38
Sites, in units of the cell vectors:
Zr1 0.1319 0.2849 0.0000
Zr2 0.3676 0.1571 0.0000
Zr3 0.1837 0.6294 0.5000
As1 0.8042 0.7348 0.0000
As2 0.2333 0.5283 0.0000
Zr4 0.9408 0.5090 0.5000
As3 0.6974 0.2659 0.0000
Zr5 0.0626 0.0764 0.5000
Zr6 0.0106 0.7318 0.0000
Zr7 0.6021 0.0244 0.0000
Zr8 0.6439 0.6141 0.0000
Zr9 0.4536 0.4813 0.0000
Zr10 0.8905 0.3743 0.0000
As4 0.0318 0.0452 0.0000
As5 0.9611 0.8333 0.5000
As6 0.3903 0.6266 0.5000
Zr11 0.5920 0.3360 0.5000
As7 0.1626 0.3161 0.5000
Zr12 0.7408 0.8804 0.5000
Zr13 0.5513 0.7455 0.5000
As8 0.4970 0.0940 0.5000
Zr14 0.3042 0.9870 0.5000
Zr15 0.2534 0.8525 0.0000
Zr16 0.8266 0.2049 0.5000



A relaxed structure of ZrAs2. Source: OQMD, functional PBE.

Results
As for the total energy: -35.53 eV/cell. For the calculated volume, the calculation gives 19.7 Å³ per atom. Its magnetization is 0.00 μB/f.u. The space group is Fd-3m, No. 227.

abc: 5.5120 5.5120 5.5120
angles: 60.00 60.00 60.00
Sites, in units of the cell vectors:
As1 0.1250 0.6250 0.6250
As2 0.6250 0.1250 0.6250
As3 0.6250 0.6250 0.1250
As4 0.6250 0.6250 0.6250
Zr1 0.2500 0.2500 0.2500
Zr2 0.0000 0.0000 0.0000



A relaxed structure of Zr2As. Source: OQMD, functional PBE.

Results
As for the total energy: -92.50 eV/cell. For the calculated volume, the calculation gives 21.0 Å³ per atom. Its magnetization is 0.00 μB/f.u. The space group is Cmcm, No. 63.

abc: 15.8735 3.3963 4.6849
angles: 90.00 90.00 90.00
Sites, in units of the cell vectors:
Zr1 0.2934 0.0000 0.0000
Zr2 0.9328 0.5000 0.5000
As1 0.6511 0.0000 0.0000
As2 0.2933 0.5000 0.5000
As3 0.7933 0.0000 0.5000
Zr3 0.7934 0.5000 0.0000
Zr4 0.1511 0.0000 0.5000
Zr5 0.0117 0.0000 0.0000
Zr6 0.4328 0.0000 0.5000
As4 0.1512 0.5000 0.0000
Zr7 0.5117 0.5000 0.0000
Zr8 0.6510 0.5000 0.5000



A relaxed structure of Zr4As3. Source: OQMD, functional PBE.

Results
As for the total energy: -105.82 eV/cell. For the calculated volume, the calculation gives 20.9 Å³ per atom. Its magnetization is 0.01 μB/f.u. The space group is P6_3/m, No. 176.

abc: 8.0370 8.0377 5.2282
angles: 90.00 90.00 60.00
Sites, in units of the cell vectors:
Zr1 0.0952 0.5238 0.5000
Zr2 0.7527 0.4396 0.0000
As1 0.1736 0.8140 0.5000
Zr3 0.0017 0.1997 0.5000
As2 0.1384 0.2257 0.0000
Zr4 0.5128 0.4303 0.5000
As3 0.3501 0.5670 0.0000
Zr5 0.7711 0.9413 0.5000
As4 0.3854 0.1552 0.5000
Zr6 0.0110 0.9506 0.0000
As5 0.7266 0.6023 0.5000
Zr7 0.5221 0.1812 0.0000
As6 0.7972 0.7787 0.0000
Zr8 0.4286 0.8571 0.0000



A relaxed structure of Zr3As2. Source: OQMD, functional PBE.

Results
As for the total energy: -160.95 eV/cell. For the calculated volume, the calculation gives 20.3 Å³ per atom. Its magnetization is 0.00 μB/f.u. The space group is Pnma, No. 62.

abc: 10.6036 3.7646 10.1870
angles: 90.00 90.00 90.00
Sites, in units of the cell vectors:
Zr1 0.2148 0.2500 0.2051
Zr2 0.7852 0.7500 0.7949
As1 0.1944 0.7500 0.0005
Zr3 0.9552 0.7500 0.1247
Zr4 0.7148 0.2500 0.2949
Zr5 0.3763 0.2500 0.9330
As2 0.5285 0.7500 0.8201
As3 0.0285 0.7500 0.6799
As4 0.4715 0.2500 0.1799
As5 0.3056 0.2500 0.5005
As6 0.8056 0.2500 0.9995
Zr6 0.0448 0.2500 0.8753
Zr7 0.8763 0.2500 0.5670
Zr8 0.1237 0.7500 0.4330
As7 0.9715 0.2500 0.3201
As8 0.6944 0.7500 0.4995
Zr9 0.5448 0.2500 0.6247
Zr10 0.4552 0.7500 0.3753
Zr11 0.6237 0.7500 0.0670
Zr12 0.2852 0.7500 0.7051



A relaxed structure of ZrAs3. Source: OQMD, functional PBE.

Results
As for the total energy: -49.18 eV/cell. For the calculated volume, the calculation gives 20.9 Å³ per atom. Its magnetization is 0.01 μB/f.u. The space group is Cmcm, No. 63.

abc: 3.7217 12.2222 12.2222
angles: 162.51 90.00 90.00
Sites, in units of the cell vectors:
Zr1 0.2500 0.7506 0.0917
As1 0.2500 0.3442 0.4972
As2 0.2500 0.9963 0.8445
Zr2 0.7500 0.0917 0.7506
As3 0.2500 0.6311 0.2115
As4 0.7500 0.8445 0.9963
As5 0.7500 0.4972 0.3442
As6 0.7500 0.2115 0.6311



A relaxed structure of B2Au. Source: OQMD, functional PBE.

Results
As for the total energy: -22.57 eV/cell. For the calculated volume, the calculation gives 33.5 Å³ per atom. The space group is Fd-3m, No. 227.

abc: 6.5759 6.5759 6.5759
angles: 60.00 60.00 60.00
Sites, in units of the cell vectors:
Au1 0.5000 0.5000 0.5000
Au2 0.2500 0.2500 0.2500
B1 0.3750 0.3750 0.3750
B2 0.8750 0.3750 0.3750
B3 0.3750 0.8750 0.3750
B4 0.3750 0.3750 0.8750



A relaxed structure of B2Au. Source: OQMD, functional PBE.

Results
As for the total energy: -23.09 eV/cell. For the calculated volume, the calculation gives 10.9 Å³ per atom. The space group is Fd-3m, No. 227.

abc: 4.5165 4.5165 4.5165
angles: 60.00 60.00 60.00
Sites, in units of the cell vectors:
B1 0.6250 0.1250 0.6250
B2 0.6250 0.6250 0.1250
Au1 0.2500 0.2500 0.2500
B3 0.6250 0.6250 0.6250
Au2 0.0000 0.0000 0.0000
B4 0.1250 0.6250 0.6250



A relaxed structure of BAu2. Source: OQMD, functional PBE.

Results
As for the total energy: -16.95 eV/cell. For the calculated volume, the calculation gives 18.9 Å³ per atom. The space group is Fd-3m, No. 227.

abc: 5.4344 5.4344 5.4344
angles: 60.00 60.00 60.00
Sites, in units of the cell vectors:
B1 0.2500 0.2500 0.2500
Au1 0.1250 0.6250 0.6250
B2 0.0000 0.0000 0.0000
Au2 0.6250 0.6250 0.6250
Au3 0.6250 0.6250 0.1250
Au4 0.6250 0.1250 0.6250



A relaxed structure of BAu2. Source: OQMD, functional PBE.

Results
As for the total energy: -20.71 eV/cell. For the calculated volume, the calculation gives 36.3 Å³ per atom. The space group is Fd-3m, No. 227.

abc: 6.7535 6.7535 6.7535
angles: 60.00 60.00 60.00
Sites, in units of the cell vectors:
Au1 0.3750 0.3750 0.3750
B1 0.5000 0.5000 0.5000
B2 0.2500 0.2500 0.2500
Au2 0.8750 0.3750 0.3750
Au3 0.3750 0.8750 0.3750
Au4 0.3750 0.3750 0.8750



A relaxed structure of BaB4Au. Source: OQMD, functional PBE.

Results
As for the total energy: -29.08 eV/cell. For the calculated volume, the calculation gives 13.8 Å³ per atom. The space group is Immm, No. 71.

abc: 5.7897 5.7897 5.7897
angles: 148.41 124.35 65.41
Sites, in units of the cell vectors:
Au1 0.5000 0.5000 0.0000
B1 0.9230 0.2518 0.6713
B2 0.0770 0.7482 0.3287
Ba1 0.0000 0.0000 0.0000
B3 0.5805 0.2518 0.3287
B4 0.4195 0.7482 0.6713